1.
RbGaAs2Se (GGA-PBE, relaxed); formation energy (no corrections) = 10.37 kJ/mol of atoms; crystal system = tetragonal; E above lowest polymorph = 0.00 eV/f.u.
1.0
5.063 0.000 0.000
0.000 5.063 0.000
0.000 0.000 5.420
Rb Ga As Se
1 1 2 1
direct
0.000 0.000 0.000
0.500 0.500 0.500
0.000 0.500 0.500
0.500 0.000 0.500
0.500 0.500 0.000

2.
RbGaAsSe2 (GGA-PBE, relaxed); formation energy (no corrections) = -9.61 kJ/mol of atoms; crystal system = tetragonal; E above lowest polymorph = 0.00 eV/f.u.
1.0
5.315 0.000 0.000
0.000 5.315 0.000
0.000 0.000 4.949
Rb Ga As Se
1 1 1 2
direct
0.000 0.000 0.000
0.500 0.500 0.500
0.500 0.500 0.000
0.000 0.500 0.500
0.500 0.000 0.500

3.
RbGa2TcAs (GGA-PBE, relaxed); crystal system = tetragonal; energy of formation = -13.2 kJ/mol of atoms
1.0
4.986 0.000 0.000
0.000 4.986 0.000
0.000 0.000 4.876
Rb Ga Tc As
1 2 1 1
direct
0.000 0.000 0.000
0.000 0.500 0.500
0.500 0.000 0.500
0.500 0.500 0.500
0.500 0.500 0.000

4.
RbGaTeAs2 (GGA-PBE, relaxed); formation energy (no corrections) = 13.30 kJ/mol of atoms; crystal system = tetragonal
1.0
5.114 0.000 0.000
0.000 5.114 0.000
0.000 0.000 5.714
Rb Ga Te As
1 1 1 2
direct
0.000 0.000 0.000
0.500 0.500 0.500
0.500 0.500 0.000
0.000 0.500 0.500
0.500 0.000 0.500

5.
RbGaTe3As (GGA-PBE, relaxed); formation energy (no corrections) = -33.84 kJ/mol of atoms; crystal system = monoclinic
1.0
9.886 0.000 0.000
0.000 4.293 0.000
-3.140 0.000 10.593
Rb Ga Te As
2 2 6 2
direct
0.191 0.250 0.225
0.809 0.750 0.775
0.077 0.250 0.621
0.923 0.750 0.379
0.138 0.250 0.867
0.197 0.750 0.538
0.463 0.750 0.145
0.537 0.250 0.855
0.803 0.250 0.462
0.862 0.750 0.133
0.356 0.750 0.862
0.644 0.250 0.138

6.
Rb2TlGaAs2 (GGA-PBE, relaxed); crystal system = orthorhombic; energy of formation = -32.0 kJ/mol of atoms
1.0
-3.761 7.720 3.420
3.761 -7.720 3.420
3.761 7.720 -3.420
Rb Tl Ga As
4 2 2 4
direct
0.172 0.248 0.420
0.328 0.748 0.075
0.672 0.252 0.925
0.828 0.752 0.580
0.250 0.750 0.500
0.750 0.250 0.500
0.250 0.250 0.000
0.750 0.750 0.000
0.091 0.817 0.907
0.409 0.317 0.726
0.591 0.683 0.274
0.909 0.183 0.093

7.
RbZnGaAs2 (GGA-PBE, relaxed); crystal system = monoclinic; energy of formation = -35.4 kJ/mol of atoms
1.0
6.692 -2.083 0.000
6.692 2.083 0.000
-1.524 0.000 9.956
Rb Zn Ga As
2 2 2 4
direct
0.155 0.155 0.164
0.845 0.845 0.836
0.175 0.175 0.574
0.825 0.825 0.426
0.451 0.451 0.321
0.549 0.549 0.679
0.117 0.117 0.805
0.371 0.371 0.559
0.629 0.629 0.441
0.883 0.883 0.195

8.
GaReAs3 (GGA-PBE, relaxed); crystal system = cubic; E above lowest polymorph = 4.73 eV/f.u.; energy of formation = 145.5 kJ/mol of atoms
1.0
4.774 0.000 0.000
0.000 4.774 0.000
0.000 0.000 4.774
Ga Re As
1 1 3
direct
0.000 0.000 0.000
0.500 0.500 0.500
0.000 0.000 0.500
0.000 0.500 0.000
0.500 0.000 0.000

The Fermi-level density of states results, record by record, are as follows: 4.53, 4.89, 1.40, 5.23, 1.22, 2.29, 0.24, 3.85 states/eV/f.u..
The final energy results, record by record, are as follows: -16.24, -16.11, -22.72, -15.75, -40.35, -37.24, -32.81, -21.88 eV per cell.